No. 1
Mg4Hg3 | PBE | optimized geometry

Unit cell a=5.8929 b=5.8929 c=5.5153 alpha=90.00 beta=90.00 gamma=120.00
With the nearest neighbours (Å) after each atom.
Space group P6/mmm (No. 191)
Unique sites:
Mg  0.0000  0.0000  0.2465 x2  2 Mg 2.72-2.80
Mg  0.3333  0.6667  0.0000 x2  6 Hg 3.24, 3 Mg 3.40
Hg  0.0000  0.5000  0.5000 x3  4 Hg 2.95, 8 Mg 3.24-3.26

Results
- energy above the most stable polymorph in this dataset (meV/atom) = 198
- DFT formation energy (meV/atom) = 18
- calculated density (g/cm3) = 7.00
- total energy (eV per atom) = -1.023
- crystal system = hexagonal



No. 2
MgHg3 | PBE | optimized geometry

Unit cell a=7.2615 b=7.2615 c=7.2615 alpha=90.00 beta=90.00 gamma=90.00
With the nearest neighbours (Å) after each atom.
Space group Fm-3m (No. 225)
Unique sites:
Mg  0.0000  0.0000  0.0000 x4  8 Hg 3.14
Hg  0.0000  0.0000  0.5000 x4  8 Hg 3.14
Hg  0.2500  0.2500  0.2500 x8  4 Mg 3.14, 4 Hg 3.14

Results
- DFT formation energy (meV/atom) = -31
- calculated density (g/cm3) = 10.86
- total energy (eV per atom) = -0.656
- crystal system = cubic